No. 1
Compound: TiOsPb2
Source: Alexandria via LeMat-Bulk
Functional: GGA-PBE
Structure: optimized geometry

The offset from the most stable computed form comes out at 0.000 eV/atom.

The structure belongs to space group Fm-3m (No. 225); the cell edges are 6.821, 6.821 and 6.821 Å and the angles 90.00°, 90.00° and 90.00°. The inequivalent atoms are Ti at (0.000, 0.000, 0.000), Os at (0.000, 0.000, 0.500) and Pb at (0.250, 0.250, 0.250).

No. 2
Compound: TiOsPb2
Source: Alexandria via LeMat-Bulk
Functional: GGA-PBE
Structure: optimized geometry

The offset from the most stable computed form comes out at 0.195 eV/atom.

The structure belongs to space group I-42d (No. 122); the cell edges are 4.209, 4.209 and 20.034 Å and the angles 90.00°, 90.00° and 90.00°. The inequivalent atoms are Ti at (0.000, 0.000, 0.000), Os at (0.000, 0.000, 0.500) and Pb at (0.248, 0.250, 0.625).

No. 3
Compound: Ti2OsPb
Source: Alexandria via LeMat-Bulk
Functional: GGA-PBE
Structure: optimized geometry

The structure belongs to space group P4/mmm (No. 123); the cell edges are 3.062, 3.062 and 7.868 Å and the angles 90.00°, 90.00° and 90.00°. The inequivalent atoms are Ti at (0.000, 0.000, 0.199), Os at (0.500, 0.500, 0.000) and Pb at (0.500, 0.500, 0.500).

No. 4
Compound: Ti2OsPb
Source: Alexandria via LeMat-Bulk
Functional: GGA-PBE
Structure: optimized geometry

The structure belongs to space group I-42d (No. 122); the cell edges are 7.384, 7.384 and 5.843 Å and the angles 90.00°, 90.00° and 90.00°. The inequivalent atoms are Ti at (0.195, 0.750, 0.125), Os at (0.000, 0.000, 0.000) and Pb at (0.000, 0.000, 0.500).

No. 5
Compound: TiOs2Pb
Source: Alexandria via LeMat-Bulk
Functional: GGA-PBE
Structure: optimized geometry

The structure belongs to space group I-42d (No. 122); the cell edges are 4.185, 4.185 and 17.828 Å and the angles 90.00°, 90.00° and 90.00°. The inequivalent atoms are Ti at (0.000, 0.000, 0.000), Os at (0.171, 0.250, 0.125) and Pb at (0.000, 0.000, 0.500).

No. 6
Compound: Tl2OsPb
Source: Alexandria via LeMat-Bulk
Functional: GGA-PBE
Structure: optimized geometry

The offset from the most stable computed form comes out at 0.170 eV/atom.

The structure belongs to space group P4/mmm (No. 123); the cell edges are 3.273, 3.273 and 9.011 Å and the angles 90.00°, 90.00° and 90.00°. The inequivalent atoms are Tl at (0.000, 0.000, 0.195), Os at (0.500, 0.500, 0.000) and Pb at (0.500, 0.500, 0.500).

No. 7
Compound: Tl2OsPb
Source: Alexandria via LeMat-Bulk
Functional: GGA-PBE
Structure: optimized geometry

The offset from the most stable computed form comes out at 0.420 eV/atom.

The structure belongs to space group Fm-3m (No. 225); the cell edges are 7.229, 7.229 and 7.229 Å and the angles 90.00°, 90.00° and 90.00°. The inequivalent atoms are Tl at (0.250, 0.250, 0.250), Os at (0.000, 0.000, 0.000) and Pb at (0.000, 0.000, 0.500).

No. 8
Compound: Tl4OsPb2
Source: Alexandria via LeMat-Bulk
Functional: GGA-PBE
Structure: optimized geometry

The structure belongs to space group I4/mmm (No. 139); the cell edges are 5.326, 5.326 and 15.952 Å and the angles 90.00°, 90.00° and 90.00°. The inequivalent atoms are Tl at (0.000, 0.000, 0.170), Tl at (0.000, 0.500, 0.000), Os at (0.000, 0.000, 0.000) and Pb at (0.000, 0.000, 0.358).

Respective ΔE_f values: 0.61 0.81 -0.20 0.29 0.75 0.73 0.98 0.51 eV per atom.
Respective ρ values: 13.7 12.2 11.1 10.3 13.5 13.9 14.2 10.4 g/cm3.